Entry 1:
The following is a PBE calculation of a relaxed NdSm3ErTm crystal, from Alexandria via LeMat-Bulk.

a = 8.038 Å, b = 8.038 Å, c = 10.179 Å
α = 90.00°, β = 90.00°, γ = 143.26°
Atoms (fractional coordinates):
Nd  0.001  0.999  0.750
Nd  0.999  0.001  0.250
Sm  0.166  0.834  0.000
Sm  0.166  0.834  0.500
Sm  0.333  0.667  0.750
Sm  0.667  0.333  0.250
Sm  0.834  0.166  0.000
Sm  0.834  0.166  0.500
Er  0.500  0.500  0.000
Er  0.500  0.500  0.500
Tm  0.333  0.667  0.250
Tm  0.667  0.333  0.750

Calculated values
DFT total energy in eV per atom: -4.642
DFT formation energy in eV per atom: 0.02
M_tot in μB per cell: 0.001
SG: Cmcm, No. 63

---

Entry 2:
The following is a PBE calculation of a relaxed Ba6As2SeI3 crystal, from Alexandria via LeMat-Bulk.

a = 8.366 Å, b = 8.366 Å, c = 8.746 Å
α = 99.17°, β = 99.17°, γ = 120.02°
Atoms (fractional coordinates):
Ba  0.092  0.430  0.791
Ba  0.231  0.231  0.208
Ba  0.430  0.092  0.791
Ba  0.570  0.908  0.209
Ba  0.769  0.769  0.792
Ba  0.908  0.570  0.209
As  0.167  0.833  0.000
As  0.833  0.167  0.000
Se  0.500  0.500  0.000
I  0.000  0.000  0.500
I  0.334  0.666  0.500
I  0.666  0.334  0.500

Calculated values
Raw formation energy in eV/f.u.: -18.80
DFT total energy in eV per atom: -3.981
M_tot in μB per cell: 0.000
SG: C2/m, No. 12

---

Entry 3:
The following is a PBE calculation of a relaxed Ag13Pd3 crystal, from Alexandria via LeMat-Bulk.

a = 8.384 Å, b = 5.752 Å, c = 5.752 Å
α = 87.47°, β = 90.00°, γ = 90.00°
Atoms (fractional coordinates):
Ag  0.000  0.000  0.000
Ag  0.000  0.000  0.496
Ag  0.000  0.496  0.000
Ag  0.000  0.496  0.496
Ag  0.252  0.246  0.749
Ag  0.252  0.748  0.748
Ag  0.252  0.749  0.246
Ag  0.500  0.000  0.494
Ag  0.500  0.494  0.000
Ag  0.500  0.495  0.495
Ag  0.748  0.246  0.749
Ag  0.748  0.748  0.748
Ag  0.748  0.749  0.246
Pd  0.251  0.247  0.247
Pd  0.500  0.998  0.998
Pd  0.749  0.247  0.247

Calculated values
DFT total energy in eV per atom: -3.308
DFT formation energy in eV per atom: -0.02
M_tot in μB per cell: 0.000
SG: Amm2, No. 38

---

Entry 4:
The following is a PBE calculation of a relaxed Rb2PS4 crystal, from Alexandria via LeMat-Bulk.

a = 10.462 Å, b = 9.432 Å, c = 9.353 Å
α = 67.69°, β = 56.51°, γ = 55.80°
Atoms (fractional coordinates):
Rb  0.238  0.238  0.762
Rb  0.245  0.755  0.245
Rb  0.755  0.245  0.755
Rb  0.762  0.762  0.238
P  0.250  0.250  0.250
P  0.750  0.750  0.750
S  0.010  0.650  0.652
S  0.312  0.348  0.350
S  0.348  0.312  0.990
S  0.350  0.990  0.312
S  0.650  0.010  0.688
S  0.652  0.688  0.010
S  0.688  0.652  0.650
S  0.990  0.350  0.348

Calculated values
Raw formation energy in eV/f.u.: -4.24
DFT total energy in eV per atom: -4.013
ΔE to the lowest computed polymorph in kJ/mol of formula units: 109
M_tot in μB per cell: 1.862
SG: Fmmm, No. 69